1.
DFT (PBE-GGA) results for a relaxed LiTmBi2S5 crystal.

Structure (CIF):
```
data_LiTmBi2S5
_chemical_formula_sum 'Li4 Tm4 Bi8 S20'
_space_group_name_H-M_alt 'C m c 21'
_space_group_IT_number 36
_cell_length_a 3.965
_cell_length_b 17.691
_cell_length_c 12.811
_cell_angle_alpha 90.00
_cell_angle_beta 90.00
_cell_angle_gamma 90.00
loop_
_space_group_symop_operation_xyz
'x,y,z'
'-x,-y,z+1/2'
'-x,y,z'
'x,-y,z+1/2'
'x+1/2,y+1/2,z'
'-x+1/2,-y+1/2,z+1/2'
'-x+1/2,y+1/2,z'
'x+1/2,-y+1/2,z+1/2'
loop_
_atom_site_label
_atom_site_type_symbol
_atom_site_fract_x
_atom_site_fract_y
_atom_site_fract_z
Li1 Li 0.000 0.003 0.000
Tm1 Tm 0.000 0.290 0.004
Bi1 Bi 0.000 0.350 0.707
Bi2 Bi 0.000 0.406 0.253
S1 S 0.000 0.001 0.304
S2 S 0.000 0.139 0.060
S3 S 0.000 0.208 0.654
S4 S 0.000 0.210 0.365
S5 S 0.000 0.438 0.057
```

**Total energy**: -4.84 eV/atom



2.
DFT (PBE-GGA) results for a relaxed Li3TmBi2S6 crystal.

Structure (CIF):
```
data_Li3TmBi2S6
_chemical_formula_sum 'Li6 Tm2 Bi4 S12'
_space_group_name_H-M_alt 'C 1 2/m 1'
_space_group_IT_number 12
_cell_length_a 6.840
_cell_length_b 11.861
_cell_length_c 6.667
_cell_angle_alpha 90.00
_cell_angle_beta 110.07
_cell_angle_gamma 90.00
loop_
_space_group_symop_operation_xyz
'x,y,z'
'-x,-y,-z'
'-x,y,-z'
'x,-y,z'
'x+1/2,y+1/2,z'
'-x+1/2,-y+1/2,-z'
'-x+1/2,y+1/2,-z'
'x+1/2,-y+1/2,z'
loop_
_atom_site_label
_atom_site_type_symbol
_atom_site_fract_x
_atom_site_fract_y
_atom_site_fract_z
Li1 Li 0.000 0.000 0.000
Li2 Li 0.000 0.326 0.000
Tm1 Tm 0.000 0.500 0.500
Bi1 Bi 0.000 0.166 0.500
S1 S 0.237 0.500 0.245
S2 S 0.247 0.339 0.757
```

**Total energy**: -4.67 eV/atom



3.
DFT (PBE-GGA) results for a relaxed LiTmBi2S4 crystal.

Structure (CIF):
```
data_LiTmBi2S4
_chemical_formula_sum 'Li1 Tm1 Bi2 S4'
_space_group_name_H-M_alt 'P 1 2/m 1'
_space_group_IT_number 10
_cell_length_a 6.704
_cell_length_b 3.833
_cell_length_c 7.655
_cell_angle_alpha 90.00
_cell_angle_beta 109.12
_cell_angle_gamma 90.00
loop_
_space_group_symop_operation_xyz
'x,y,z'
'-x,-y,-z'
'-x,y,-z'
'x,-y,z'
loop_
_atom_site_label
_atom_site_type_symbol
_atom_site_fract_x
_atom_site_fract_y
_atom_site_fract_z
Li1 Li 0.000 0.000 0.000
Tm1 Tm 0.500 0.500 0.000
Bi1 Bi 0.000 0.000 0.500
Bi2 Bi 0.500 0.500 0.500
S1 S 0.095 0.500 0.786
S2 S 0.392 0.000 0.204
```

**Total energy**: -4.72 eV/atom



4.
DFT (PBE-GGA) results for a relaxed Li2TmBiS4 crystal.

Structure (CIF):
```
data_Li2TmBiS4
_chemical_formula_sum 'Li2 Tm1 Bi1 S4'
_space_group_name_H-M_alt 'P 1 2/m 1'
_space_group_IT_number 10
_cell_length_a 6.640
_cell_length_b 3.916
_cell_length_c 6.837
_cell_angle_alpha 90.00
_cell_angle_beta 110.16
_cell_angle_gamma 90.00
loop_
_space_group_symop_operation_xyz
'x,y,z'
'-x,-y,-z'
'-x,y,-z'
'x,-y,z'
loop_
_atom_site_label
_atom_site_type_symbol
_atom_site_fract_x
_atom_site_fract_y
_atom_site_fract_z
Li1 Li 0.000 0.000 0.000
Li2 Li 0.000 0.500 0.500
Tm1 Tm 0.500 0.000 0.500
Bi1 Bi 0.500 0.500 0.000
S1 S 0.242 0.000 0.735
S2 S 0.250 0.500 0.258
```

**Total energy**: -4.88 eV/atom



5.
DFT (PBE-GGA) results for a relaxed Li4Tm3BiS8 crystal.

Structure (CIF):
```
data_Li4Tm3BiS8
_chemical_formula_sum 'Li12 Tm9 Bi3 S24'
_space_group_name_H-M_alt 'R -3 m'
_space_group_IT_number 166
_space_group_name_Hall '-R 3 2"'
_cell_length_a 7.7944
_cell_length_b 7.7944
_cell_length_c 18.5981
_cell_angle_alpha 90.00
_cell_angle_beta 90.00
_cell_angle_gamma 120.00
loop_
_atom_site_label
_atom_site_type_symbol
_atom_site_fract_x
_atom_site_fract_y
_atom_site_fract_z
Li1 Li 0.0000 0.0000 0.0000
Li2 Li 0.0000 0.5000 0.0000
Tm1 Tm 0.0000 0.5000 0.5000
Bi1 Bi 0.0000 0.0000 0.5000
S1 S 0.0000 0.0000 0.2485
S2 S 0.0094 0.5047 0.7493
```

**Total energy**: -5.20 eV/atom



6.
DFT (PBE-GGA) results for a relaxed LiUBiS4 crystal.

Structure (CIF):
```
data_LiUBiS4
_chemical_formula_sum 'Li4 U4 Bi4 S16'
_space_group_name_H-M_alt 'I m m a'
_space_group_IT_number 74
_space_group_name_Hall '-I 2b 2'
_cell_length_a 8.016
_cell_length_b 8.058
_cell_length_c 11.354
_cell_angle_alpha 90.00
_cell_angle_beta 90.00
_cell_angle_gamma 90.00
loop_
_atom_site_label
_atom_site_type_symbol
_atom_site_fract_x
_atom_site_fract_y
_atom_site_fract_z
Li1 Li 0.000 0.250 0.125
U1 U 0.250 0.250 0.750
Bi1 Bi 0.000 0.000 0.500
S1 S 0.000 0.021 0.750
S2 S 0.248 0.250 0.514
```

**Total energy**: -5.81 eV/atom



7.
DFT (PBE-GGA) results for a relaxed Li2BiWS crystal.

Structure (CIF):
```
data_Li2BiWS
_chemical_formula_sum 'Li2 Bi1 W1 S1'
_space_group_name_H-M_alt 'P 4/m m m'
_space_group_IT_number 123
_space_group_name_Hall '-P 4 2'
_cell_length_a 5.222
_cell_length_b 5.222
_cell_length_c 4.404
_cell_angle_alpha 90.00
_cell_angle_beta 90.00
_cell_angle_gamma 90.00
loop_
_atom_site_label
_atom_site_type_symbol
_atom_site_fract_x
_atom_site_fract_y
_atom_site_fract_z
Li1 Li 0.000 0.500 0.000
Bi1 Bi 0.000 0.000 0.500
W1 W 0.500 0.500 0.000
S1 S 0.500 0.500 0.500
```

**Total energy**: -4.33 eV/atom



8.
DFT (PBE-GGA) results for a relaxed LiYBi2S5 crystal.

Structure (CIF):
```
data_LiYBi2S5
_chemical_formula_sum 'Li4 Y4 Bi8 S20'
_space_group_name_H-M_alt 'C m c 21'
_space_group_IT_number 36
_cell_length_a 3.992
_cell_length_b 17.734
_cell_length_c 12.912
_cell_angle_alpha 90.00
_cell_angle_beta 90.00
_cell_angle_gamma 90.00
loop_
_space_group_symop_operation_xyz
'x,y,z'
'-x,-y,z+1/2'
'-x,y,z'
'x,-y,z+1/2'
'x+1/2,y+1/2,z'
'-x+1/2,-y+1/2,z+1/2'
'-x+1/2,y+1/2,z'
'x+1/2,-y+1/2,z+1/2'
loop_
_atom_site_label
_atom_site_type_symbol
_atom_site_fract_x
_atom_site_fract_y
_atom_site_fract_z
Li1 Li 0.000 0.004 0.000
Y1 Y 0.000 0.292 0.002
Bi1 Bi 0.000 0.350 0.704
Bi2 Bi 0.000 0.406 0.252
S1 S 0.000 0.000 0.305
S2 S 0.000 0.139 0.060
S3 S 0.000 0.207 0.654
S4 S 0.000 0.209 0.361
S5 S 0.000 0.441 0.058
```

**Total energy**: -5.06 eV/atom



9.
DFT (PBE-GGA) results for a relaxed Li3Y2BiS6 crystal.

Structure (CIF):
```
data_Li3Y2BiS6
_chemical_formula_sum 'Li6 Y4 Bi2 S12'
_space_group_name_H-M_alt 'C 1 2/m 1'
_space_group_IT_number 12
_cell_length_a 6.832
_cell_length_b 11.837
_cell_length_c 6.625
_cell_angle_alpha 90.00
_cell_angle_beta 110.15
_cell_angle_gamma 90.00
loop_
_space_group_symop_operation_xyz
'x,y,z'
'-x,-y,-z'
'-x,y,-z'
'x,-y,z'
'x+1/2,y+1/2,z'
'-x+1/2,-y+1/2,-z'
'-x+1/2,y+1/2,-z'
'x+1/2,-y+1/2,z'
loop_
_atom_site_label
_atom_site_type_symbol
_atom_site_fract_x
_atom_site_fract_y
_atom_site_fract_z
Li1 Li 0.000 0.000 0.000
Li2 Li 0.000 0.338 0.000
Y1 Y 0.000 0.167 0.500
Bi1 Bi 0.000 0.500 0.500
S1 S 0.244 0.000 0.755
S2 S 0.245 0.170 0.246
```

**Total energy**: -5.42 eV/atom



10.
DFT (PBE-GGA) results for a relaxed LiY4BiS8 crystal.

Structure (CIF):
```
data_LiY4BiS8
_chemical_formula_sum 'Li3 Y12 Bi3 S24'
_space_group_name_H-M_alt 'R 3 m'
_space_group_IT_number 160
_space_group_name_Hall 'R 3 -2"'
_cell_length_a 8.0392
_cell_length_b 8.0392
_cell_length_c 19.9098
_cell_angle_alpha 90.00
_cell_angle_beta 90.00
_cell_angle_gamma 120.00
loop_
_atom_site_label
_atom_site_type_symbol
_atom_site_fract_x
_atom_site_fract_y
_atom_site_fract_z
Li1 Li 0.0000 0.0000 0.0000
Y1 Y 0.0000 0.0000 0.2552
Y2 Y 0.1715 0.3430 0.4622
Bi1 Bi 0.0000 0.0000 0.6380
S1 S 0.0000 0.0000 0.3881
S2 S 0.0000 0.0000 0.8714
S3 S 0.0131 0.5065 0.3837
S4 S 0.1748 0.3496 0.2072
```

**Total energy**: -6.29 eV/atom



11.
DFT (PBE-GGA) results for a relaxed LiYBi2S4 crystal.

Structure (CIF):
```
data_LiYBi2S4
_chemical_formula_sum 'Li1 Y1 Bi2 S4'
_space_group_name_H-M_alt 'P 1 2/m 1'
_space_group_IT_number 10
_cell_length_a 6.748
_cell_length_b 3.860
_cell_length_c 7.691
_cell_angle_alpha 90.00
_cell_angle_beta 109.27
_cell_angle_gamma 90.00
loop_
_space_group_symop_operation_xyz
'x,y,z'
'-x,-y,-z'
'-x,y,-z'
'x,-y,z'
loop_
_atom_site_label
_atom_site_type_symbol
_atom_site_fract_x
_atom_site_fract_y
_atom_site_fract_z
Li1 Li 0.000 0.000 0.000
Y1 Y 0.500 0.500 0.000
Bi1 Bi 0.000 0.000 0.500
Bi2 Bi 0.500 0.500 0.500
S1 S 0.091 0.500 0.784
S2 S 0.391 0.000 0.207
```

**Total energy**: -4.97 eV/atom



12.
DFT (PBE-GGA) results for a relaxed LiZrBi2S5 crystal.

Structure (CIF):
```
data_LiZrBi2S5
_chemical_formula_sum 'Li4 Zr4 Bi8 S20'
_space_group_name_H-M_alt 'C m c 21'
_space_group_IT_number 36
_cell_length_a 3.729
_cell_length_b 16.632
_cell_length_c 13.588
_cell_angle_alpha 90.00
_cell_angle_beta 90.00
_cell_angle_gamma 90.00
loop_
_space_group_symop_operation_xyz
'x,y,z'
'-x,-y,z+1/2'
'-x,y,z'
'x,-y,z+1/2'
'x+1/2,y+1/2,z'
'-x+1/2,-y+1/2,z+1/2'
'-x+1/2,y+1/2,z'
'x+1/2,-y+1/2,z+1/2'
loop_
_atom_site_label
_atom_site_type_symbol
_atom_site_fract_x
_atom_site_fract_y
_atom_site_fract_z
Li1 Li 0.000 0.054 0.000
Zr1 Zr 0.000 0.285 0.620
Bi1 Bi 0.000 0.352 0.907
Bi2 Bi 0.000 0.437 0.223
S1 S 0.000 0.011 0.341
S2 S 0.000 0.129 0.567
S3 S 0.000 0.204 0.985
S4 S 0.000 0.241 0.247
S5 S 0.000 0.437 0.609
```

**Total energy**: -5.11 eV/atom



13.
DFT (PBE-GGA) results for a relaxed Li4BiSb3 crystal.

Structure (CIF):
```
data_Li4BiSb3
_chemical_formula_sum 'Li4 Bi1 Sb3'
_space_group_name_H-M_alt 'P 4/m m m'
_space_group_IT_number 123
_space_group_name_Hall '-P 4 2'
_cell_length_a 3.243
_cell_length_b 3.243
_cell_length_c 16.999
_cell_angle_alpha 90.00
_cell_angle_beta 90.00
_cell_angle_gamma 90.00
loop_
_atom_site_label
_atom_site_type_symbol
_atom_site_fract_x
_atom_site_fract_y
_atom_site_fract_z
Li1 Li 0.000 0.000 0.123
Li2 Li 0.000 0.000 0.368
Bi1 Bi 0.500 0.500 0.500
Sb1 Sb 0.500 0.500 0.000
Sb2 Sb 0.500 0.500 0.248
```

**Total energy**: -3.39 eV/atom



14.
DFT (PBE-GGA) results for a relaxed Li2Bi2Sb crystal.

Structure (CIF):
```
data_Li2Bi2Sb
_chemical_formula_sum 'Li4 Bi4 Sb2'
_space_group_name_H-M_alt 'I 4/m m m'
_space_group_IT_number 139
_space_group_name_Hall '-I 4 2'
_cell_length_a 4.721
_cell_length_b 4.721
_cell_length_c 11.892
_cell_angle_alpha 90.00
_cell_angle_beta 90.00
_cell_angle_gamma 90.00
loop_
_atom_site_label
_atom_site_type_symbol
_atom_site_fract_x
_atom_site_fract_y
_atom_site_fract_z
Li1 Li 0.000 0.500 0.250
Bi1 Bi 0.000 0.000 0.121
Sb1 Sb 0.000 0.000 0.500
```

**Total energy**: -3.11 eV/atom



15.
DFT (PBE-GGA) results for a relaxed Li5Bi2Sb crystal.

Structure (CIF):
```
data_Li5Bi2Sb
_chemical_formula_sum 'Li10 Bi4 Sb2'
_space_group_name_H-M_alt 'I 4/m m m'
_space_group_IT_number 139
_space_group_name_Hall '-I 4 2'
_cell_length_a 4.557
_cell_length_b 4.557
_cell_length_c 16.564
_cell_angle_alpha 90.00
_cell_angle_beta 90.00
_cell_angle_gamma 90.00
loop_
_atom_site_label
_atom_site_type_symbol
_atom_site_fract_x
_atom_site_fract_y
_atom_site_fract_z
Li1 Li 0.000 0.000 0.000
Li2 Li 0.000 0.500 0.111
Bi1 Bi 0.000 0.000 0.238
Sb1 Sb 0.000 0.000 0.500
```

**Total energy**: -3.13 eV/atom



16.
DFT (PBE-GGA) results for a relaxed Li4BiSb2 crystal.

Structure (CIF):
```
data_Li4BiSb2
_chemical_formula_sum 'Li8 Bi2 Sb4'
_space_group_name_H-M_alt 'I 4/m m m'
_space_group_IT_number 139
_space_group_name_Hall '-I 4 2'
_cell_length_a 5.324
_cell_length_b 5.324
_cell_length_c 11.307
_cell_angle_alpha 90.00
_cell_angle_beta 90.00
_cell_angle_gamma 90.00
loop_
_atom_site_label
_atom_site_type_symbol
_atom_site_fract_x
_atom_site_fract_y
_atom_site_fract_z
Li1 Li 0.000 0.500 0.000
Li2 Li 0.000 0.500 0.250
Bi1 Bi 0.000 0.000 0.000
Sb1 Sb 0.000 0.000 0.372
```

**Total energy**: -3.06 eV/atom



17.
DFT (PBE-GGA) results for a relaxed Li7Bi2Sb crystal.

Structure (CIF):
```
data_Li7Bi2Sb
_chemical_formula_sum 'Li7 Bi2 Sb1'
_space_group_name_H-M_alt 'P 3 m 1'
_space_group_IT_number 156
_cell_length_a 4.6427
_cell_length_b 4.6427
_cell_length_c 11.7148
_cell_angle_alpha 90.00
_cell_angle_beta 90.00
_cell_angle_gamma 120.00
loop_
_space_group_symop_operation_xyz
'x,y,z'
'-y,x-y,z'
'-x+y,-x,z'
'-y,-x,z'
'-x+y,y,z'
'x,x-y,z'
loop_
_atom_site_label
_atom_site_type_symbol
_atom_site_fract_x
_atom_site_fract_y
_atom_site_fract_z
Li1 Li 0.0000 0.0000 0.0000
Li2 Li 0.0000 0.0000 0.2441
Li3 Li 0.0000 0.0000 0.7368
Li4 Li 0.3333 0.6667 0.3898
Li5 Li 0.3333 0.6667 0.9078
Li6 Li 0.6667 0.3333 0.0925
Li7 Li 0.6667 0.3333 0.5872
Bi1 Bi 0.0000 0.0000 0.4910
Bi2 Bi 0.6667 0.3333 0.8375
Sb1 Sb 0.3333 0.6667 0.1471
```

**Total energy**: -2.97 eV/atom



18.
DFT (PBE-GGA) results for a relaxed Li4BiSb2 crystal.

Structure (CIF):
```
data_Li4BiSb2
_chemical_formula_sum 'Li8 Bi2 Sb4'
_space_group_name_H-M_alt 'P 1 21/c 1'
_space_group_IT_number 14
_cell_length_a 6.397
_cell_length_b 8.942
_cell_length_c 6.194
_cell_angle_alpha 90.00
_cell_angle_beta 118.89
_cell_angle_gamma 90.00
loop_
_space_group_symop_operation_xyz
'x,y,z'
'-x,-y,-z'
'-x,y+1/2,-z+1/2'
'x,-y+1/2,z+1/2'
loop_
_atom_site_label
_atom_site_type_symbol
_atom_site_fract_x
_atom_site_fract_y
_atom_site_fract_z
Li1 Li 0.000 0.244 0.235
Li2 Li 0.500 0.250 0.006
Bi1 Bi 0.000 0.000 0.500
Sb1 Sb 0.269 0.000 0.134
```

**Total energy**: -3.17 eV/atom



19.
DFT (PBE-GGA) results for a relaxed LiBi3Sb crystal.

Structure (CIF):
```
data_LiBi3Sb
_chemical_formula_sum 'Li1 Bi3 Sb1'
_space_group_name_H-M_alt 'P m -3 m'
_space_group_IT_number 221
_space_group_name_Hall '-P 4 2 3'
_cell_length_a 5.913
_cell_length_b 5.913
_cell_length_c 5.913
_cell_angle_alpha 90.00
_cell_angle_beta 90.00
_cell_angle_gamma 90.00
loop_
_atom_site_label
_atom_site_type_symbol
_atom_site_fract_x
_atom_site_fract_y
_atom_site_fract_z
Li1 Li 0.000 0.000 0.000
Bi1 Bi 0.000 0.500 0.500
Sb1 Sb 0.500 0.500 0.500
```

**Total energy**: -2.98 eV/atom



20.
DFT (PBE-GGA) results for a relaxed Li6Bi2Sb crystal.

Structure (CIF):
```
data_Li6Bi2Sb
_chemical_formula_sum 'Li12 Bi4 Sb2'
_space_group_name_H-M_alt 'C 1 2/m 1'
_space_group_IT_number 12
_cell_length_a 11.162
_cell_length_b 7.896
_cell_length_c 4.921
_cell_angle_alpha 90.00
_cell_angle_beta 115.70
_cell_angle_gamma 90.00
loop_
_space_group_symop_operation_xyz
'x,y,z'
'-x,-y,-z'
'-x,y,-z'
'x,-y,z'
'x+1/2,y+1/2,z'
'-x+1/2,-y+1/2,-z'
'-x+1/2,y+1/2,-z'
'x+1/2,-y+1/2,z'
loop_
_atom_site_label
_atom_site_type_symbol
_atom_site_fract_x
_atom_site_fract_y
_atom_site_fract_z
Li1 Li 0.000 0.186 0.000
Li2 Li 0.161 0.304 0.661
Bi1 Bi 0.168 0.500 0.167
Sb1 Sb 0.000 0.000 0.500
```

**Total energy**: -3.08 eV/atom



21.
DFT (PBE-GGA) results for a relaxed LiBiSb3 crystal.

Structure (CIF):
```
data_LiBiSb3
_chemical_formula_sum 'Li1 Bi1 Sb3'
_space_group_name_H-M_alt 'P m -3 m'
_space_group_IT_number 221
_space_group_name_Hall '-P 4 2 3'
_cell_length_a 5.110
_cell_length_b 5.110
_cell_length_c 5.110
_cell_angle_alpha 90.00
_cell_angle_beta 90.00
_cell_angle_gamma 90.00
loop_
_atom_site_label
_atom_site_type_symbol
_atom_site_fract_x
_atom_site_fract_y
_atom_site_fract_z
Li1 Li 0.000 0.000 0.000
Bi1 Bi 0.500 0.500 0.500
Sb1 Sb 0.000 0.000 0.500
```

**Total energy**: -3.33 eV/atom



22.
DFT (PBE-GGA) results for a relaxed LiBiSb3 crystal.

Structure (CIF):
```
data_LiBiSb3
_chemical_formula_sum 'Li1 Bi1 Sb3'
_space_group_name_H-M_alt 'P m -3 m'
_space_group_IT_number 221
_space_group_name_Hall '-P 4 2 3'
_cell_length_a 5.892
_cell_length_b 5.892
_cell_length_c 5.892
_cell_angle_alpha 90.00
_cell_angle_beta 90.00
_cell_angle_gamma 90.00
loop_
_atom_site_label
_atom_site_type_symbol
_atom_site_fract_x
_atom_site_fract_y
_atom_site_fract_z
Li1 Li 0.000 0.000 0.000
Bi1 Bi 0.500 0.500 0.500
Sb1 Sb 0.000 0.500 0.500
```

**Total energy**: -2.91 eV/atom